[1]
DFT (GGA-PBE) results for crystalline Pr2EuGe at its relaxed geometry.

Unit cell a=4.223 b=4.223 c=10.054 alpha=77.88 beta=77.88 gamma=60.00
Atoms (fractional coordinates):
Pr 0.724 0.724 0.828
Eu 0.500 0.500 0.500
Ge 0.000 0.000 0.000
Pr 0.276 0.276 0.172

Properties
Magnetic moment in μB/atom: 2.15
N(E_F) in states/eV/atom: 1.26
ΔE to the lowest computed polymorph in meV/atom: 31
Energy relative to the elements in kJ/mol of formula units: -106

---

[2]
DFT (GGA-PBE) results for crystalline MgRe3S at its relaxed geometry.

Unit cell a=4.382 b=4.382 c=4.382 alpha=90.00 beta=90.00 gamma=90.00
Atoms (fractional coordinates):
S 0.000 0.000 0.000
Re 0.000 0.500 0.000
Re 0.000 0.000 0.500
Mg 0.500 0.500 0.500
Re 0.500 0.000 0.000

Properties
Magnetic moment in μB/atom: 0.00
N(E_F) in states/eV/atom: 1.01
Formation energy (no corrections) in eV per atom: 0.81
ΔE to the lowest computed polymorph in meV/atom: 0

---

[3]
DFT (GGA-PBE) results for crystalline Li2CaRe2 at its relaxed geometry.

Unit cell a=6.465 b=6.465 c=6.465 alpha=142.41 beta=142.41 gamma=54.21
Atoms (fractional coordinates):
Re 0.404 0.404 0.000
Li 0.250 0.750 0.500
Re 0.596 0.596 0.000
Ca 0.000 0.000 0.000
Li 0.750 0.250 0.500

Properties
Magnetic moment in μB/atom: 0.00
N(E_F) in states/eV/atom: 0.85
Energy relative to the elements in kJ/mol of formula units: 450

---

[4]
DFT (GGA-PBE) results for crystalline NdErZn2In2 at its relaxed geometry.

Unit cell a=4.696 b=4.696 c=7.390 alpha=90.00 beta=90.00 gamma=120.00
Atoms (fractional coordinates):
In 0.333 0.667 0.736
Zn 0.333 0.667 0.279
Nd 0.000 0.000 0.000
In 0.667 0.333 0.264
Zn 0.667 0.333 0.721
Er 0.000 0.000 0.500

Properties
Magnetic moment in μB/atom: 0.00
N(E_F) in states/eV/atom: 0.57
Energy relative to the elements in kJ/mol of formula units: -256

---

[5]
DFT (GGA-PBE) results for crystalline Cs2Be2Fe at its relaxed geometry.

Unit cell a=3.295 b=3.295 c=12.585 alpha=82.48 beta=82.48 gamma=90.00
Atoms (fractional coordinates):
Be 0.750 0.250 0.500
Be 0.250 0.750 0.500
Cs 0.387 0.387 0.226
Fe 0.000 0.000 0.000
Cs 0.613 0.613 0.774

Properties
Magnetic moment in μB/atom: 0.62
N(E_F) in states/eV/atom: 1.35
Energy relative to the elements in kJ/mol of formula units: 598

---

[6]
DFT (GGA-PBE) results for crystalline La3RuAu at its relaxed geometry.

Unit cell a=5.683 b=5.683 c=5.683 alpha=90.00 beta=90.00 gamma=90.00
Atoms (fractional coordinates):
La 0.500 0.000 0.000
La 0.000 0.500 0.000
Ru 0.500 0.500 0.500
Au 0.000 0.000 0.000
La 0.000 0.000 0.500

Properties
Magnetic moment in μB/atom: 0.06
N(E_F) in states/eV/atom: 1.47
ΔE to the lowest computed polymorph in meV/atom: 1057
Energy relative to the elements in kJ/mol of formula units: 275

---

[7]
DFT (GGA-PBE) results for crystalline BaMgBe at its relaxed geometry.

Unit cell a=4.752 b=4.752 c=4.742 alpha=90.00 beta=90.00 gamma=120.00
Atoms (fractional coordinates):
Ba 0.000 0.000 0.000
Mg 0.333 0.667 0.500
Be 0.667 0.333 0.500

Properties
Magnetic moment in μB/atom: 0.00
N(E_F) in states/eV/atom: 0.92
ΔE to the lowest computed polymorph in meV/atom: 194
Energy relative to the elements in kJ/mol of formula units: 110

---

[8]
DFT (GGA-PBE) results for crystalline GeSb2TePb at its relaxed geometry.

Unit cell a=6.111 b=6.111 c=6.294 alpha=90.00 beta=90.00 gamma=90.00
Atoms (fractional coordinates):
Ge 0.500 0.500 0.500
Sb 0.500 0.000 0.000
Te 0.000 0.000 0.500
Sb 0.000 0.500 0.000
Pb 0.000 0.000 0.000

Properties
Magnetic moment in μB/atom: 0.17
N(E_F) in states/eV/atom: 1.42
Formation energy (no corrections) in eV per atom: 1.12
ΔE to the lowest computed polymorph in meV/atom: 590

---

[9]
DFT (GGA-PBE) results for crystalline CaZrFe2 at its relaxed geometry.

Unit cell a=4.636 b=4.636 c=4.636 alpha=60.00 beta=60.00 gamma=60.00
Atoms (fractional coordinates):
Fe 0.250 0.250 0.250
Ca 0.500 0.500 0.500
Zr 0.750 0.750 0.750
Fe 0.000 0.000 0.000

Properties
Magnetic moment in μB/atom: 1.04
N(E_F) in states/eV/atom: 1.37
Energy relative to the elements in kJ/mol of formula units: 207

---

[10]
DFT (GGA-PBE) results for crystalline Ba2NaPuS4 at its relaxed geometry.

Unit cell a=4.328 b=7.431 c=7.433 alpha=71.04 beta=90.00 gamma=90.00
Atoms (fractional coordinates):
Ba 0.500 0.000 0.500
S 0.500 0.716 0.273
S 0.000 0.724 0.740
Pu 0.000 0.500 0.500
S 0.500 0.284 0.727
Ba 0.000 0.000 0.000
Na 0.500 0.500 0.000
S 0.000 0.276 0.260

Properties
Magnetic moment in μB/atom: 0.63
N(E_F) in states/eV/atom: 1.62
Formation energy (no corrections) in eV per atom: -1.71

---

[11]
DFT (GGA-PBE) results for crystalline RbNaAc2Br8 at its relaxed geometry.

Unit cell a=7.434 b=7.381 c=9.569 alpha=90.00 beta=90.00 gamma=85.62
Atoms (fractional coordinates):
Ac 0.500 0.500 0.756
Br 0.183 0.772 0.777
Br 0.651 0.701 0.500
Br 0.668 0.705 0.000
Br 0.349 0.299 0.500
Ac 0.500 0.500 0.244
Br 0.817 0.228 0.777
Br 0.183 0.772 0.223
Rb 0.000 0.000 0.500
Br 0.817 0.228 0.223
Br 0.332 0.295 0.000
Na 0.000 0.000 0.000

Properties
Magnetic moment in μB/atom: 0.00
N(E_F) in states/eV/atom: 0.00
Formation energy (no corrections) in eV per atom: -1.88

---

[12]
DFT (GGA-PBE) results for crystalline CaScAl at its relaxed geometry.

Unit cell a=6.874 b=6.874 c=6.874 alpha=150.88 beta=150.89 gamma=41.64
Atoms (fractional coordinates):
Al 0.986 0.986 0.000
Sc 0.364 0.364 0.000
Ca 0.650 0.650 0.000

Properties
Magnetic moment in μB/atom: 0.00
N(E_F) in states/eV/atom: 0.75
ΔE to the lowest computed polymorph in meV/atom: 34
Energy relative to the elements in kJ/mol of formula units: -43